1.
# PBE-GGA Rb4Pm6F19, optimized geometry
data_Rb4Pm6F19
_cell_length_a 10.748
_cell_length_b 10.748
_cell_length_c 10.748
_cell_angle_alpha 90.00
_cell_angle_beta 90.00
_cell_angle_gamma 90.00
_space_group_name_H-M_alt 'I 2 3'
_space_group_IT_number 197
_space_group_name_Hall 'I 2 2 3'
loop_
_atom_site_label
_atom_site_type_symbol
_atom_site_fract_x
_atom_site_fract_y
_atom_site_fract_z
Rb1 Rb 0.140 0.140 0.860
Pm1 Pm 0.000 0.338 0.500
F1 F 0.000 0.000 0.000
F2 F 0.000 0.000 0.348
F3 F 0.005 0.321 0.715
# E_form (uncorrected) ... -3459 meV/atom
# DOS(E_F) ... 11.30 states/eV per cell



2.
# PBE-GGA Ce7GaRh5, optimized geometry
data_Ce7GaRh5
_cell_length_a 5.796
_cell_length_b 10.160
_cell_length_c 9.980
_cell_angle_alpha 90.00
_cell_angle_beta 90.00
_cell_angle_gamma 90.00
_space_group_name_H-M_alt 'I m m 2'
_space_group_IT_number 44
loop_
_space_group_symop_operation_xyz
'x,y,z'
'-x,-y,z'
'-x,y,z'
'x,-y,z'
'x+1/2,y+1/2,z+1/2'
'-x+1/2,-y+1/2,z+1/2'
'-x+1/2,y+1/2,z+1/2'
'x+1/2,-y+1/2,z+1/2'
loop_
_atom_site_label
_atom_site_type_symbol
_atom_site_fract_x
_atom_site_fract_y
_atom_site_fract_z
Ce1 Ce 0.000 0.000 0.000
Ce2 Ce 0.000 0.000 0.368
Ce3 Ce 0.000 0.311 0.634
Ce4 Ce 0.000 0.342 0.087
Ce5 Ce 0.000 0.500 0.314
Ga1 Ga 0.000 0.000 0.688
Rh1 Rh 0.000 0.500 0.847
Rh2 Rh 0.248 0.232 0.881
# DOS(E_F) ... 52.98 states/eV per cell
# Formation energy from the elements ... -0.5128 eV per atom



3.
# PBE-GGA TlOs3, optimized geometry
data_TlOs3
_cell_length_a 3.966
_cell_length_b 3.966
_cell_length_c 8.139
_cell_angle_alpha 90.00
_cell_angle_beta 90.00
_cell_angle_gamma 90.00
_space_group_name_H-M_alt 'I 4/m m m'
_space_group_IT_number 139
_space_group_name_Hall '-I 4 2'
loop_
_atom_site_label
_atom_site_type_symbol
_atom_site_fract_x
_atom_site_fract_y
_atom_site_fract_z
Tl1 Tl 0.000 0.000 0.000
Os1 Os 0.000 0.000 0.500
Os2 Os 0.000 0.500 0.250
# DOS(E_F) ... 10.55 states/eV per cell
# Formation energy from the elements ... 0.9912 eV per atom



4.
# PBE-GGA K4Tb3PrSe8, optimized geometry
data_K4Tb3PrSe8
_cell_length_a 8.5391
_cell_length_b 8.5391
_cell_length_c 23.0794
_cell_angle_alpha 90.00
_cell_angle_beta 90.00
_cell_angle_gamma 120.00
_space_group_name_H-M_alt 'R -3 m'
_space_group_IT_number 166
_space_group_name_Hall '-R 3 2"'
loop_
_atom_site_label
_atom_site_type_symbol
_atom_site_fract_x
_atom_site_fract_y
_atom_site_fract_z
K1 K 0.0000 0.0000 0.0000
K2 K 0.0000 0.5000 0.0000
Tb1 Tb 0.0000 0.5000 0.5000
Pr1 Pr 0.0000 0.0000 0.5000
Se1 Se 0.0000 0.0000 0.2350
Se2 Se 0.0076 0.5038 0.7639
# E_form (uncorrected) ... -1759 meV/atom
# DOS(E_F) ... 0.00 states/eV per cell